No. 1
# Sr3SbRh

A PBEsol-optimized structure of Sr3SbRh (SCAN, Alexandria).

The space group is Pm-3m (No. 221) and the conventional cell measures 5.5478, 5.5478 and 5.5478 Å, with angles of 90.00, 90.00 and 90.00 degrees. The distinct sites, in fractional coordinates, are Sr at (0.0000, 0.0000, 0.5000), Sb at (0.5000, 0.5000, 0.5000) and Rh at (0.0000, 0.0000, 0.0000).

Its uncorrected formation energy is -0.527 eV per atom. Its uncorrected energy is -28.098 eV per atom. The value obtained for the spin magnetization is 0.00 μB/f.u.

No. 2
# TaSb2Rh

A PBEsol-optimized structure of TaSb2Rh (SCAN, Alexandria).

The space group is R3m (No. 160, hexagonal axes) and the conventional cell measures 3.0904, 3.0904 and 30.8407 Å, with angles of 90.00, 90.00 and 120.00 degrees. The distinct sites, in fractional coordinates, are Ta at (0.0000, 0.0000, 0.0000), Sb at (0.0000, 0.0000, 0.5329), Sb at (0.0000, 0.0000, 0.7429) and Rh at (0.0000, 0.0000, 0.2678).

Its uncorrected formation energy is -0.007 eV per atom. Its uncorrected energy is -43.726 eV per atom. The value obtained for the spin magnetization is 0.00 μB/f.u.

No. 3
# Ta2SbRh

A PBEsol-optimized structure of Ta2SbRh (SCAN, Alexandria).

The space group is Cm (No. 8) and the conventional cell measures 9.7979, 3.5243 and 4.4706 Å, with angles of 90.00, 117.15 and 90.00 degrees. The distinct sites, in fractional coordinates, are Ta at (0.0000, 0.0000, 0.0000), Ta at (0.2395, 0.0000, 0.7390), Sb at (0.4747, 0.0000, 0.4748) and Rh at (0.2430, 0.5000, 0.2419).

Its uncorrected formation energy is -0.126 eV per atom. Its uncorrected energy is -51.176 eV per atom. The value obtained for the spin magnetization is 0.00 μB/f.u.

No. 4
# TaSb2Rh

A PBEsol-optimized structure of TaSb2Rh (SCAN, Alexandria).

The space group is P4/mmm (No. 123) and the conventional cell measures 3.3685, 3.3685 and 6.4265 Å, with angles of 90.00, 90.00 and 90.00 degrees. The distinct sites, in fractional coordinates, are Ta at (0.0000, 0.0000, 0.0000), Sb at (0.5000, 0.5000, 0.2529) and Rh at (0.0000, 0.0000, 0.5000).

Its uncorrected formation energy is 0.058 eV per atom. Its uncorrected energy is -43.661 eV per atom. The value obtained for the spin magnetization is 0.00 μB/f.u.

No. 5
# TbSbRh

A PBEsol-optimized structure of TbSbRh (SCAN, Alexandria).

The space group is Pnma (No. 62) and the conventional cell measures 7.0798, 4.5223 and 7.7415 Å, with angles of 90.00, 90.00 and 90.00 degrees. The distinct sites, in fractional coordinates, are Tb at (0.0096, 0.2500, 0.2004), Sb at (0.1919, 0.2500, 0.5905) and Rh at (0.1975, 0.7500, 0.4180).

Its uncorrected formation energy is -1.167 eV per atom. Its uncorrected energy is -40.431 eV per atom. The value obtained for the spin magnetization is 0.00 μB/f.u.

No. 6
# TcSb3Rh

A PBEsol-optimized structure of TcSb3Rh (SCAN, Alexandria).

The space group is Pm-3m (No. 221) and the conventional cell measures 4.9899, 4.9899 and 4.9899 Å, with angles of 90.00, 90.00 and 90.00 degrees. The distinct sites, in fractional coordinates, are Tc at (0.0000, 0.0000, 0.0000), Sb at (0.0000, 0.0000, 0.5000) and Rh at (0.5000, 0.5000, 0.5000).

Its uncorrected formation energy is 0.886 eV per atom. Its uncorrected energy is -35.237 eV per atom. The value obtained for the spin magnetization is 0.00 μB/f.u.

No. 7
# Tc2SbRh

A PBEsol-optimized structure of Tc2SbRh (SCAN, Alexandria).

The space group is I4/mmm (No. 139) and the conventional cell measures 3.9223, 3.9223 and 7.8448 Å, with angles of 90.00, 90.00 and 90.00 degrees. The distinct sites, in fractional coordinates, are Tc at (0.0000, 0.5000, 0.2500), Sb at (0.0000, 0.0000, 0.0000) and Rh at (0.0000, 0.0000, 0.5000).

Its uncorrected formation energy is 0.122 eV per atom. Its uncorrected energy is -35.166 eV per atom. The value obtained for the spin magnetization is 0.00 μB/f.u.

No. 8
# Tc2SbRh

A PBEsol-optimized structure of Tc2SbRh (SCAN, Alexandria).

The space group is Cm (No. 8) and the conventional cell measures 9.0236, 2.9437 and 4.6950 Å, with angles of 90.00, 100.63 and 90.00 degrees. The distinct sites, in fractional coordinates, are Tc at (0.0000, 0.0000, 0.0000), Tc at (0.2384, 0.5000, 0.1762), Sb at (0.4981, 0.0000, 0.4914) and Rh at (0.2508, 0.0000, 0.7094).

Its uncorrected formation energy is 0.100 eV per atom. Its uncorrected energy is -35.188 eV per atom. The value obtained for the spin magnetization is 0.00 μB/f.u.